# 1
Computed, not measured: a relaxed AgP2 crystal at the GGA-PBE level of DFT.

Cell: 2.8139 4.2274 10.4853 Å, 90.00 90.00 90.00°
Space group Immm (No. 71)
One atom of each set of equivalent atoms:
Ag1 0.0000 0.0000 0.0000 [2 per cell]
P1 0.0000 0.0000 0.3950 [4 per cell]

The formation energy is 466 meV per atom. As for the calculated volume: 20.8 Å³ per atom. The distance to the lowest polymorph of the same formula comes out at 45.05 kJ per mole of atoms. The spin magnetization is 0.00 μB per formula unit.

# 2
Computed, not measured: a relaxed Ba2Ag2Se2S crystal at the GGA-PBE level of DFT.

Cell: 4.3865 6.8003 7.7244 Å, 66.02 73.54 71.30°
Space group P-1 (No. 2)
One atom of each set of equivalent atoms:
Ba1 0.0608 0.1871 0.1921 [2 per cell]
Ag1 0.2775 0.3486 0.5958 [2 per cell]
Se1 0.3290 0.6559 0.1855 [2 per cell]
S1 0.5000 0.0000 0.5000 [1 per cell]

As for the calculated volume: 28.0 Å³ per atom. The formation energy from raw total energies comes out at -1.191 eV per atom. The spin magnetization is 0.00 μB per formula unit.